# La2Pd2Au15 | Alexandria via LeMat-Bulk | PBE-GGA | relaxed
data_La2Pd2Au15
_chemical_formula_sum 'La6 Pd6 Au45'
_space_group_name_H-M_alt 'R -3 m'
_space_group_IT_number 166
_space_group_name_Hall '-R 3 2"'
_cell_length_a 9.6240
_cell_length_b 9.6240
_cell_length_c 14.2672
_cell_angle_alpha 90.00
_cell_angle_beta 90.00
_cell_angle_gamma 120.00
loop_
_atom_site_label
_atom_site_fract_x
_atom_site_fract_y
_atom_site_fract_z
La1 0.0000 0.0000 0.1815
Pd1 0.0000 0.0000 0.3975
Au1 0.0000 0.2974 0.5000
Au2 0.0000 0.5000 0.0000
Au3 0.0096 0.5048 0.6464
# Calculated density ... 15.0 g/cm3
# Formation energy ... -0.320 eV/atom
# Total moment ... 0.00 μB/f.u.

=====

# Pr2Ho2Tm3 | Alexandria via LeMat-Bulk | PBE-GGA | relaxed
data_Pr2Ho2Tm3
_chemical_formula_sum 'Pr8 Ho8 Tm12'
_space_group_name_H-M_alt 'I 21 3'
_space_group_IT_number 199
_space_group_name_Hall 'I 2b 2c 3'
_cell_length_a 9.718
_cell_length_b 9.718
_cell_length_c 9.718
_cell_angle_alpha 90.00
_cell_angle_beta 90.00
_cell_angle_gamma 90.00
loop_
_atom_site_label
_atom_site_fract_x
_atom_site_fract_y
_atom_site_fract_z
Pr1 0.157 0.343 0.657
Ho1 0.042 0.042 0.042
Tm1 0.000 0.250 0.304
# Calculated density ... 8.1 g/cm3
# Formation energy ... 0.220 eV/atom
# Total moment ... 0.00 μB/f.u.

=====

# Ho6Sn2Te3Pb | Alexandria via LeMat-Bulk | PBE-GGA | relaxed
data_Ho6Sn2Te3Pb
_chemical_formula_sum 'Ho12 Sn4 Te6 Pb2'
_space_group_name_H-M_alt 'C 1 2/m 1'
_space_group_IT_number 12
_space_group_name_Hall '-C 2y'
_cell_length_a 19.141
_cell_length_b 4.388
_cell_length_c 8.779
_cell_angle_alpha 90.00
_cell_angle_beta 103.63
_cell_angle_gamma 90.00
loop_
_atom_site_label
_atom_site_fract_x
_atom_site_fract_y
_atom_site_fract_z
Ho1 0.003 0.000 0.246
Ho2 0.165 0.500 0.092
Ho3 0.170 0.500 0.575
Sn1 0.167 0.000 0.333
Te1 0.000 0.500 0.500
Te2 0.166 0.000 0.833
Pb1 0.000 0.500 0.000
# Calculated density ... 8.4 g/cm3
# Formation energy from raw total energies ... -982 meV per atom
# Total moment ... 0.00 μB/f.u.